Record 1
The following is a PBE-GGA calculation of an optimized crystal structure of TaCr2Te, from Alexandria.

Cell: 5.275 5.275 3.040 Å, 74.54 74.54 114.14°
Each line ends with the local moment (μB).
Element x y z (fractional)
Ta 0.500 0.000 0.500  -0.33
Cr 0.500 0.500 0.000  1.92
Cr 0.000 0.000 0.000  1.92
Te 0.000 0.500 0.500  -0.02

Output
The value obtained for the calculated total energy is -31.833 eV per cell. The value obtained for the energy relative to the elements, uncorrected is 0.60 eV/atom.

Record 2
The following is a PBE-GGA calculation of an optimized crystal structure of Ac2PmF11, from Alexandria.

Cell: 9.156 9.248 9.248 Å, 71.91 60.33 60.33°
Each line ends with the local moment (μB).
Element x y z (fractional)
F 0.675 0.702 0.565  0.13
F 0.948 0.818 0.481  0.13
F 0.103 0.181 0.819  0.23
F 0.442 0.798 0.935  0.13
F 0.397 0.681 0.319  0.23
F 0.325 0.298 0.435  0.13
F 0.942 0.435 0.298  0.13
F 0.603 0.319 0.681  0.23
F 0.052 0.182 0.519  0.13
F 0.175 0.065 0.202  0.13
F 0.000 0.000 0.000  0.46
F 0.558 0.202 0.065  0.13
F 0.247 0.519 0.182  0.13
F 0.897 0.819 0.181  0.23
F 0.753 0.481 0.818  0.13
F 0.825 0.935 0.798  0.13
F 0.747 0.682 0.019  0.13
F 0.500 0.500 0.500  0.46
F 0.058 0.565 0.702  0.13
F 0.552 0.019 0.682  0.13
F 0.448 0.981 0.318  0.13
F 0.253 0.318 0.981  0.13
Ac 0.828 0.192 0.808  0.01
Ac 0.672 0.692 0.308  0.01
Ac 0.328 0.308 0.692  0.01
Ac 0.172 0.808 0.192  0.01
Pm 0.750 0.750 0.750  -0.01
Pm 0.250 0.250 0.250  -0.01

Output
The value obtained for the calculated total energy is -163.851 eV per cell. The value obtained for the energy relative to the elements, uncorrected is -3.46 eV/atom.

Record 3
The following is a PBE-GGA calculation of an optimized crystal structure of CrCo2Rh, from Alexandria.

Cell: 3.904 2.585 4.924 Å, 74.79 90.00 90.00°
Each line ends with the local moment (μB).
Element x y z (fractional)
Cr 0.000 0.314 0.498  -1.00
Rh 0.500 0.700 0.725  0.25
Co 0.500 0.443 0.239  1.04
Co 0.000 0.043 0.039  1.24

Output
The value obtained for the calculated total energy is -30.855 eV per cell. Its formation energy is 1.9 kcal/mol of atoms.